Li2NiSe | PBE | relaxed Values from VASP.

Cell and atoms, written as Quantum ESPRESSO input:
```
&SYSTEM
  ibrav = 0, nat = 4, ntyp = 3
/
ATOMIC_SPECIES
Li 6.94 Li.upf
Ni 58.69 Ni.upf
Se 78.96 Se.upf
ATOMIC_POSITIONS angstrom
Li 0.000 0.000 6.045
Li 0.000 0.000 18.099
Ni 0.000 0.000 0.000
Se 0.000 0.000 12.072
CELL_PARAMETERS angstrom
1.459 0.842 8.048
-1.459 0.842 8.048
0.000 -1.685 8.048
```

The uncorrected formation energy is -0.119 eV per atom. The magnetic moment comes out at 0.00 μB/f.u. The density of states at the Fermi level is 2.8 states/eV per cell. Its electronic total energy is -13.57 eV/f.u.